Material: KCeSnWO6
Method: DFT, PBE with a Hubbard U
State: optimized geometry

Unit cell a=6.002 b=6.002 c=8.465 alpha=90.00 beta=90.00 gamma=90.00
Fractional coordinates of all 20 atoms:
O (0.245, 0.724, 0.500)
O (0.000, 0.500, 0.739)
O (0.755, 0.276, 0.500)
O (0.724, 0.245, 0.000)
O (0.276, 0.755, 0.000)
O (0.724, 0.755, 0.000)
O (0.500, 0.000, 0.761)
O (0.276, 0.245, 0.000)
O (0.245, 0.276, 0.500)
O (0.000, 0.500, 0.261)
O (0.755, 0.724, 0.500)
O (0.500, 0.000, 0.239)
K (0.000, 0.000, 0.250)
K (0.000, 0.000, 0.750)
Sn (0.500, 0.500, 0.250)
Sn (0.500, 0.500, 0.750)
W (0.000, 0.500, 0.500)
W (0.500, 0.000, 0.000)
Ce (0.500, 0.000, 0.500)
Ce (0.000, 0.500, 0.000)

Computed properties:
D(E_F) = 0.402 states/eV/f.u.
M_tot = 1.1 μB per formula unit
Distance to the lowest polymorph of the same formula = 0.000 eV/atom
Electronic total energy = -139.2 eV per cell